Record 1
# Ba2Cd2O5 (PBE-GGA, optimized geometry)
data_Ba2Cd2O5
_cell_length_a 9.042
_cell_length_b 4.528
_cell_length_c 4.528
_cell_angle_alpha 90.00
_cell_angle_beta 90.00
_cell_angle_gamma 90.00
_space_group_name_H-M_alt 'P 1'
_space_group_IT_number 1
_space_group_name_Hall 'P 1'
loop_
_atom_site_label
_atom_site_fract_x
_atom_site_fract_y
_atom_site_fract_z
Ba1 0.239 0.500 0.500
Ba2 0.761 0.500 0.500
Cd1 0.000 0.000 0.000
Cd2 0.500 0.000 0.000
O1 0.085 0.500 0.000
O2 0.915 0.500 0.000
O3 0.085 0.000 0.500
O4 0.915 0.000 0.500
O5 0.500 0.500 0.500
# Energy relative to the lowest polymorph listed for this composition (meV per atom): 453
# Calculated volume (A^3/atom): 20.60

***

Record 2
# TbInSiPt2 (PBE-GGA, optimized geometry)
data_TbInSiPt2
_cell_length_a 4.236
_cell_length_b 4.236
_cell_length_c 10.877
_cell_angle_alpha 90.00
_cell_angle_beta 90.00
_cell_angle_gamma 90.00
_space_group_name_H-M_alt 'P 1'
_space_group_IT_number 1
_space_group_name_Hall 'P 1'
loop_
_atom_site_label
_atom_site_fract_x
_atom_site_fract_y
_atom_site_fract_z
In1 0.000 0.000 0.500
In2 0.500 0.500 0.500
Pt1 0.000 0.000 0.000
Pt2 0.500 0.500 0.000
Pt3 0.000 0.500 0.330
Pt4 0.500 0.000 0.670
Si1 0.000 0.500 0.118
Si2 0.500 0.000 0.882
Tb1 0.500 0.000 0.233
Tb2 0.000 0.500 0.767
# Calculated total energy (eV per atom): -5.9431
# Calculated volume (A^3/atom): 19.52

***

Record 3
# TlZnCoHg (PBE-GGA, optimized geometry)
data_TlZnCoHg
_cell_length_a 4.683
_cell_length_b 4.683
_cell_length_c 4.683
_cell_angle_alpha 60.00
_cell_angle_beta 60.00
_cell_angle_gamma 60.00
_space_group_name_H-M_alt 'P 1'
_space_group_IT_number 1
_space_group_name_Hall 'P 1'
loop_
_atom_site_label
_atom_site_fract_x
_atom_site_fract_y
_atom_site_fract_z
Co1 0.750 0.750 0.750
Hg1 0.500 0.500 0.500
Tl1 0.000 0.000 0.000
Zn1 0.250 0.250 0.250
# Energy relative to the lowest polymorph listed for this composition (meV per atom): 0
# Calculated volume (A^3/atom): 18.15

***

Record 4
# CdIrO4 (PBE-GGA, optimized geometry)
data_CdIrO4
_cell_length_a 4.731
_cell_length_b 5.294
_cell_length_c 5.872
_cell_angle_alpha 89.92
_cell_angle_beta 89.53
_cell_angle_gamma 86.97
_space_group_name_H-M_alt 'P 1'
_space_group_IT_number 1
_space_group_name_Hall 'P 1'
loop_
_atom_site_label
_atom_site_fract_x
_atom_site_fract_y
_atom_site_fract_z
Cd1 0.498 0.250 0.329
Cd2 0.502 0.750 0.671
Ir1 0.001 0.750 0.148
Ir2 0.999 0.250 0.852
O1 0.211 0.053 0.095
O2 0.791 0.447 0.099
O3 0.249 0.611 0.364
O4 0.755 0.893 0.368
O5 0.245 0.107 0.632
O6 0.751 0.389 0.636
O7 0.209 0.553 0.901
O8 0.789 0.947 0.905
# Energy relative to the lowest polymorph listed for this composition (meV per atom): 5
# Calculated volume (A^3/atom): 12.24

***

Record 5
# Er4InTeC2 (PBE-GGA, optimized geometry)
data_Er4InTeC2
_cell_length_a 3.668
_cell_length_b 3.668
_cell_length_c 15.100
_cell_angle_alpha 90.00
_cell_angle_beta 90.00
_cell_angle_gamma 120.00
_space_group_name_H-M_alt 'P 1'
_space_group_IT_number 1
_space_group_name_Hall 'P 1'
loop_
_atom_site_label
_atom_site_fract_x
_atom_site_fract_y
_atom_site_fract_z
C1 0.667 0.333 0.264
C2 0.667 0.333 0.736
Er1 0.333 0.667 0.174
Er2 0.000 0.000 0.348
Er3 0.000 0.000 0.652
Er4 0.333 0.667 0.826
In1 0.000 0.000 0.000
Te1 0.333 0.667 0.500
# Calculated total energy (eV per atom): -5.9586
# Calculated volume (A^3/atom): 22.00

***

Record 6
# CsTcMo (PBE-GGA, optimized geometry)
data_CsTcMo
_cell_length_a 4.470
_cell_length_b 4.470
_cell_length_c 4.470
_cell_angle_alpha 60.00
_cell_angle_beta 60.00
_cell_angle_gamma 60.00
_space_group_name_H-M_alt 'P 1'
_space_group_IT_number 1
_space_group_name_Hall 'P 1'
loop_
_atom_site_label
_atom_site_fract_x
_atom_site_fract_y
_atom_site_fract_z
Cs1 0.000 0.000 0.000
Mo1 0.250 0.250 0.250
Tc1 0.750 0.750 0.750
# Calculated total energy (eV per atom): -4.3042
# Calculated volume (A^3/atom): 21.06

***

Record 7
# Zr2Sn (PBE-GGA, optimized geometry)
data_Zr2Sn
_cell_length_a 5.615
_cell_length_b 5.615
_cell_length_c 4.983
_cell_angle_alpha 90.00
_cell_angle_beta 90.00
_cell_angle_gamma 60.00
_space_group_name_H-M_alt 'P 1'
_space_group_IT_number 1
_space_group_name_Hall 'P 1'
loop_
_atom_site_label
_atom_site_fract_x
_atom_site_fract_y
_atom_site_fract_z
Sn1 0.000 0.000 0.000
Sn2 0.333 0.333 0.000
Zr1 0.667 0.667 0.000
Zr2 0.667 0.017 0.500
Zr3 0.017 0.316 0.500
Zr4 0.316 0.667 0.500
# Calculated total energy (eV per atom): -7.3545
# Calculated volume (A^3/atom): 22.67

***

Record 8
# InRe2O4 (PBE-GGA, optimized geometry)
data_InRe2O4
_cell_length_a 6.509
_cell_length_b 6.509
_cell_length_c 6.509
_cell_angle_alpha 119.98
_cell_angle_beta 90.03
_cell_angle_gamma 119.98
_space_group_name_H-M_alt 'P 1'
_space_group_IT_number 1
_space_group_name_Hall 'P 1'
loop_
_atom_site_label
_atom_site_fract_x
_atom_site_fract_y
_atom_site_fract_z
In1 0.000 0.000 0.000
In2 0.750 0.500 0.250
O1 0.201 0.801 0.400
O2 0.599 0.199 0.400
O3 0.600 0.801 0.401
O4 0.150 0.301 0.451
O5 0.600 0.199 0.799
O6 0.150 0.699 0.849
O7 0.151 0.301 0.850
O8 0.549 0.699 0.850
Re1 0.375 0.750 0.125
Re2 0.375 0.750 0.625
Re3 0.375 0.250 0.625
Re4 0.875 0.250 0.625
# Calculated total energy (eV per atom): -7.4431
# Calculated volume (A^3/atom): 13.93